Entry 1:
This record from OQMD describes a relaxed structure of CdSn2. The functional is PBE. Values from VASP.

Results
Its symmetry is Fd-3m, No. 227. The distance to the lowest polymorph of the same formula comes out at 0.105 eV per atom.

Structure (Quantum ESPRESSO input):
```
&SYSTEM
  ibrav = 0, nat = 6, ntyp = 2
/
ATOMIC_SPECIES
Cd 112.41 Cd.upf
Sn 118.71 Sn.upf
CELL_PARAMETERS angstrom
0.0000 4.4089 4.4089
4.4089 0.0000 4.4089
4.4089 4.4089 0.0000
ATOMIC_POSITIONS angstrom
Cd 1.1022 1.1022 1.1022
Cd 7.7156 7.7156 7.7156
Sn 4.4089 2.2045 2.2045
Sn 2.2045 4.4089 2.2045
Sn 2.2045 2.2045 4.4089
Sn 4.4089 4.4089 4.4089
```

---

Entry 2:
This record from OQMD describes a relaxed structure of Cd2Sn. The functional is PBE. Values from VASP.

Results
Its symmetry is Fd-3m, No. 227. The electronic total energy is -11.12 eV/cell.

Structure (Quantum ESPRESSO input):
```
&SYSTEM
  ibrav = 0, nat = 6, ntyp = 2
/
ATOMIC_SPECIES
Cd 112.41 Cd.upf
Sn 118.71 Sn.upf
CELL_PARAMETERS angstrom
0.0000 4.1804 4.1804
4.1804 0.0000 4.1804
4.1804 4.1804 0.0000
ATOMIC_POSITIONS angstrom
Cd 0.0000 0.0000 0.0000
Cd 2.0902 2.0902 0.0000
Cd 2.0902 0.0000 2.0902
Cd 0.0000 2.0902 2.0902
Sn 3.1353 3.1353 3.1353
Sn 5.2255 5.2255 5.2255
```

---

Entry 3:
This record from OQMD describes a relaxed structure of Sr2CdSn. The functional is PBE. Values from VASP.

Results
Its symmetry is F-43m, No. 216. The distance to the lowest polymorph of the same formula comes out at 0.375 eV per atom.

Structure (Quantum ESPRESSO input):
```
&SYSTEM
  ibrav = 0, nat = 4, ntyp = 3
/
ATOMIC_SPECIES
Sr 87.62 Sr.upf
Cd 112.41 Cd.upf
Sn 118.71 Sn.upf
CELL_PARAMETERS angstrom
0.0000 4.0251 4.0251
4.0251 0.0000 4.0251
4.0251 4.0251 0.0000
ATOMIC_POSITIONS angstrom
Sr 0.0000 0.0000 0.0000
Sr 2.0125 2.0125 2.0125
Cd 6.0376 6.0376 6.0376
Sn 4.0251 4.0251 4.0251
```

---

Entry 4:
This record from OQMD describes a relaxed structure of Sr2CdSn. The functional is PBE. Values from VASP.

Results
Its symmetry is Pmmn, No. 59. The distance to the lowest polymorph of the same formula comes out at 0.000 eV per atom.

Structure (Quantum ESPRESSO input):
```
&SYSTEM
  ibrav = 0, nat = 8, ntyp = 3
/
ATOMIC_SPECIES
Sr 87.62 Sr.upf
Cd 112.41 Cd.upf
Sn 118.71 Sn.upf
CELL_PARAMETERS angstrom
5.7147 0.0000 0.0000
0.0000 8.0518 0.0000
0.0000 0.0000 5.7151
ATOMIC_POSITIONS angstrom
Sr 1.4287 0.0000 1.4214
Sr 1.4287 4.0259 1.4214
Sr 4.2860 0.0000 4.2937
Sr 4.2860 4.0259 4.2937
Cd 1.4287 2.0129 4.2745
Cd 4.2860 6.0388 1.4407
Sn 1.4287 6.0388 4.2769
Sn 4.2860 2.0129 1.4383
```

---

Entry 5:
This record from OQMD describes a relaxed structure of Sr2CdSn. The functional is PBE. Values from VASP.

Results
Its symmetry is Fm-3m, No. 225. The distance to the lowest polymorph of the same formula comes out at 0.001 eV per atom.

Structure (Quantum ESPRESSO input):
```
&SYSTEM
  ibrav = 0, nat = 4, ntyp = 3
/
ATOMIC_SPECIES
Sr 87.62 Sr.upf
Cd 112.41 Cd.upf
Sn 118.71 Sn.upf
CELL_PARAMETERS angstrom
0.0000 4.0255 4.0255
4.0255 0.0000 4.0255
4.0255 4.0255 0.0000
ATOMIC_POSITIONS angstrom
Sr 2.0128 2.0128 2.0128
Sr 6.0383 6.0383 6.0383
Cd 0.0000 0.0000 0.0000
Sn 4.0255 4.0255 4.0255
```

---

Entry 6:
This record from OQMD describes a relaxed structure of Sr2CdSn. The functional is PBE. Values from VASP.

Results
Its symmetry is P4/mmm, No. 123. The distance to the lowest polymorph of the same formula comes out at 0.051 eV per atom.

Structure (Quantum ESPRESSO input):
```
&SYSTEM
  ibrav = 0, nat = 4, ntyp = 3
/
ATOMIC_SPECIES
Sr 87.62 Sr.upf
Cd 112.41 Cd.upf
Sn 118.71 Sn.upf
CELL_PARAMETERS angstrom
5.5749 0.0000 0.0000
0.0000 5.5749 0.0000
0.0000 0.0000 4.2025
ATOMIC_POSITIONS angstrom
Sr 0.0000 2.7874 0.0000
Sr 2.7874 0.0000 0.0000
Cd 0.0000 0.0000 2.1012
Sn 2.7874 2.7874 2.1012
```

---

Entry 7:
This record from OQMD describes a relaxed structure of Sr2CdSn. The functional is PBE. Values from VASP.

Results
Its symmetry is Imma, No. 74. The distance to the lowest polymorph of the same formula comes out at 0.049 eV per atom.

Structure (Quantum ESPRESSO input):
```
&SYSTEM
  ibrav = 0, nat = 8, ntyp = 3
/
ATOMIC_SPECIES
Sr 87.62 Sr.upf
Cd 112.41 Cd.upf
Sn 118.71 Sn.upf
CELL_PARAMETERS angstrom
-3.9793 4.1709 3.9427
3.9793 -4.1709 3.9427
3.9793 4.1709 -3.9427
ATOMIC_POSITIONS angstrom
Sr 1.9897 4.1950 -1.9714
Sr 1.9897 0.0241 1.9714
Sr -1.9897 4.1467 1.9714
Sr 1.9897 4.1467 1.9714
Cd 3.9793 2.0854 -0.0414
Cd 0.0000 2.0854 3.9841
Sn 3.9793 -2.0854 3.9063
Sn 0.0000 6.2563 0.0364
```

---

Entry 8:
This record from OQMD describes a relaxed structure of SrZnCdSn2. The functional is PBE. Values from VASP.

Results
Its symmetry is P4/nmm, No. 129. The electronic total energy is -26.99 eV/cell.

Structure (Quantum ESPRESSO input):
```
&SYSTEM
  ibrav = 0, nat = 10, ntyp = 4
/
ATOMIC_SPECIES
Sr 87.62 Sr.upf
Zn 65.41 Zn.upf
Cd 112.41 Cd.upf
Sn 118.71 Sn.upf
CELL_PARAMETERS angstrom
4.7674 0.0000 0.0000
0.0000 4.7674 0.0000
0.0000 0.0000 11.9156
ATOMIC_POSITIONS angstrom
Sr 1.1918 1.1918 2.7722
Sr 3.5755 3.5755 9.1434
Zn 1.1918 3.5755 0.0000
Zn 3.5755 1.1918 0.0000
Cd 1.1918 1.1918 7.7093
Cd 3.5755 3.5755 4.2063
Sn 1.1918 1.1918 10.4865
Sn 1.1918 3.5755 5.9578
Sn 3.5755 1.1918 5.9578
Sn 3.5755 3.5755 1.4291
```

---

Entry 9:
This record from OQMD describes a relaxed structure of TaCdSn. The functional is PBE. Values from VASP.

Results
The size of the total moment is 0.23 μB/atom. Its symmetry is F-43m, No. 216. The electronic total energy is -14.68 eV/cell.

Structure (Quantum ESPRESSO input):
```
&SYSTEM
  ibrav = 0, nat = 3, ntyp = 3
/
ATOMIC_SPECIES
Ta 180.95 Ta.upf
Cd 112.41 Cd.upf
Sn 118.71 Sn.upf
CELL_PARAMETERS angstrom
0.0000 3.3387 3.3387
3.3387 0.0000 3.3387
3.3387 3.3387 0.0000
ATOMIC_POSITIONS angstrom
Ta 0.0000 0.0000 0.0000
Cd 5.0081 5.0081 5.0081
Sn 1.6694 1.6694 1.6694
```

---

Entry 10:
This record from OQMD describes a relaxed structure of TaCdSn. The functional is PBE. Values from VASP.

Results
The size of the total moment is 0.61 μB/atom. Its symmetry is F-43m, No. 216. The electronic total energy is -14.20 eV/cell.

Structure (Quantum ESPRESSO input):
```
&SYSTEM
  ibrav = 0, nat = 3, ntyp = 3
/
ATOMIC_SPECIES
Ta 180.95 Ta.upf
Cd 112.41 Cd.upf
Sn 118.71 Sn.upf
CELL_PARAMETERS angstrom
0.0000 3.3210 3.3210
3.3210 0.0000 3.3210
3.3210 3.3210 0.0000
ATOMIC_POSITIONS angstrom
Ta 0.0000 0.0000 0.0000
Cd 3.3210 3.3210 3.3210
Sn 4.9815 4.9815 4.9815
```

---

Entry 11:
This record from OQMD describes a relaxed structure of TbCdSn2. The functional is PBE. Values from VASP.

Results
The size of the total moment is 0.00 μB/atom. Its symmetry is P4/mmm, No. 123. The electronic total energy is -15.37 eV/cell.

Structure (Quantum ESPRESSO input):
```
&SYSTEM
  ibrav = 0, nat = 4, ntyp = 3
/
ATOMIC_SPECIES
Tb 158.93 Tb.upf
Cd 112.41 Cd.upf
Sn 118.71 Sn.upf
CELL_PARAMETERS angstrom
4.7597 0.0000 0.0000
0.0000 4.7597 0.0000
0.0000 0.0000 4.4264
ATOMIC_POSITIONS angstrom
Tb 0.0000 0.0000 0.0000
Cd 2.3799 2.3799 0.0000
Sn 0.0000 2.3799 2.2132
Sn 2.3799 0.0000 2.2132
```

---

Entry 12:
This record from OQMD describes a relaxed structure of TbCd6Sn6. The functional is PBE. Values from VASP.

Results
The size of the total moment is 0.00 μB/atom. Its symmetry is P6/mmm, No. 191. The electronic total energy is -34.02 eV/cell.

Structure (Quantum ESPRESSO input):
```
&SYSTEM
  ibrav = 0, nat = 13, ntyp = 3
/
ATOMIC_SPECIES
Tb 158.93 Tb.upf
Cd 112.41 Cd.upf
Sn 118.71 Sn.upf
CELL_PARAMETERS angstrom
5.9447 0.0000 0.0000
-2.9724 5.1483 0.0000
0.0000 0.0000 10.8150
ATOMIC_POSITIONS angstrom
Tb 0.0000 0.0000 0.0000
Cd -1.4862 2.5741 2.6097
Cd -1.4862 2.5741 8.2054
Cd 2.9724 0.0000 2.6097
Cd 2.9724 0.0000 8.2054
Cd 1.4862 2.5741 2.6097
Cd 1.4862 2.5741 8.2054
Sn 0.0000 0.0000 3.7914
Sn 0.0000 0.0000 7.0236
Sn 0.0000 3.4322 0.0000
Sn 0.0000 3.4322 5.4075
Sn 2.9724 1.7161 0.0000
Sn 2.9724 1.7161 5.4075
```